No. 1
DFT (PBE) results for an optimized crystal structure of Ca2LaRuRh.

Unit cell a=5.280 b=5.280 c=4.932 alpha=90.00 beta=90.00 gamma=90.00
Atoms (fractional coordinates):
Ca: 0.000 0.500 0.000
Ca: 0.500 0.000 0.000
La: 0.000 0.000 0.500
Ru: 0.500 0.500 0.500
Rh: 0.500 0.500 0.000

Computed properties:
ρ: 5.11 g cm⁻³
ΔH_f (0 K): 25.5 kJ per mole of atoms
symmetry: P4/mmm (123)

No. 2
DFT (PBE) results for an optimized crystal structure of CuAg2Cl3.

Unit cell a=4.020 b=4.020 c=10.566 alpha=90.00 beta=90.00 gamma=120.00
Atoms (fractional coordinates):
Cu: 0.000 0.000 0.000
Ag: 0.333 0.667 0.694
Ag: 0.667 0.333 0.336
Cl: 0.000 0.000 0.220
Cl: 0.333 0.667 0.937
Cl: 0.667 0.333 0.578

Computed properties:
formation energy (no corrections): -0.403 eV/atom
ρ: 4.33 g cm⁻³
symmetry: P3m1 (156)
relative energy among the computed polymorphs: 0.000 eV per atom